(1)
Density functional theory data (PBE) for LaCePaSn after structural relaxation.

a = 5.442 Å, b = 5.442 Å, c = 5.442 Å
α = 60.00°, β = 60.00°, γ = 60.00°
Each line ends with the local moment (μB).
Positions (direct):
1 Sn 0.000 0.000 0.000  -0.04
2 La 0.250 0.250 0.250  0.13
3 Ce 0.750 0.750 0.750  0.86
4 Pa 0.500 0.500 0.500  1.21

Magnetic moment, μB per cell: 2.79
Energy relative to the elements, kJ/mol of atoms: -0.5
Theoretical density, g cm⁻³: 9.161

(2)
Density functional theory data (PBE) for Rb2LiGa after structural relaxation.

a = 10.193 Å, b = 10.193 Å, c = 7.999 Å
α = 50.42°, β = 50.42°, γ = 90.00°
Positions (direct):
1 Rb 0.375 0.352 0.750
2 Rb 0.648 0.125 0.250
3 Li 0.250 0.750 0.500
4 Rb 0.102 0.625 0.250
5 Ga 0.000 0.000 0.000
6 Rb 0.875 0.898 0.750
7 Ga 0.750 0.250 0.500
8 Li 0.500 0.500 0.000

Magnetic moment, μB per cell: 0.00
Energy relative to the elements, kJ/mol of atoms: 30.8
Theoretical density, g cm⁻³: 2.282

(3)
Density functional theory data (PBE) for LaMg2Ni after structural relaxation.

a = 5.994 Å, b = 5.994 Å, c = 3.076 Å
α = 90.00°, β = 90.00°, γ = 124.60°
Positions (direct):
1 Mg 0.000 0.000 0.000
2 Mg 0.500 0.500 0.000
3 La 0.000 0.500 0.500
4 Ni 0.500 0.000 0.500

Magnetic moment, μB per cell: 0.00
Energy relative to the elements, kJ/mol of atoms: 22.4
Theoretical density, g cm⁻³: 4.495

(4)
Density functional theory data (PBE) for Mg2NiHg after structural relaxation.

a = 7.445 Å, b = 7.445 Å, c = 5.948 Å
α = 51.25°, β = 51.25°, γ = 90.00°
Positions (direct):
1 Mg 0.169 0.625 0.250
2 Hg 0.750 0.250 0.500
3 Ni 0.250 0.750 0.500
4 Mg 0.581 0.125 0.250
5 Mg 0.375 0.419 0.750
6 Hg 0.000 0.000 0.000
7 Mg 0.875 0.831 0.750
8 Ni 0.500 0.500 0.000

Magnetic moment, μB per cell: 0.00
Energy relative to the elements, kJ/mol of atoms: 9.8
Theoretical density, g cm⁻³: 6.665

(5)
Density functional theory data (PBE) for NaBeNi3 after structural relaxation.

a = 4.040 Å, b = 4.040 Å, c = 4.040 Å
α = 90.00°, β = 90.00°, γ = 90.00°
Each line ends with the local moment (μB).
Positions (direct):
1 Ni 0.000 0.500 0.000  0.18
2 Na 0.500 0.500 0.500  0.00
3 Ni 0.500 0.000 0.000  0.14
4 Ni 0.000 0.000 0.500  0.20
5 Be 0.000 0.000 0.000  -0.01

Magnetic moment, μB per cell: 0.52
Energy relative to the elements, kJ/mol of atoms: 38.0
Theoretical density, g cm⁻³: 5.241

(6)
Density functional theory data (PBE) for CoRe2Pb after structural relaxation.

a = 4.735 Å, b = 4.735 Å, c = 4.735 Å
α = 128.44°, β = 128.44°, γ = 75.91°
Each line ends with the local moment (μB).
Positions (direct):
1 Co 0.500 0.500 0.000  0.87
2 Re 0.250 0.750 0.500  0.59
3 Re 0.000 0.000 0.000  -0.09
4 Pb 0.750 0.250 0.500  0.00

Magnetic moment, μB per cell: 1.41
Energy relative to the elements, kJ/mol of atoms: 77.1
Theoretical density, g cm⁻³: 16.746

(7)
Density functional theory data (PBE) for La4IrSe3 after structural relaxation.

a = 4.234 Å, b = 7.541 Å, c = 7.541 Å
α = 109.06°, β = 90.00°, γ = 90.00°
Positions (direct):
1 Se 0.500 0.500 0.500
2 La 0.500 0.756 0.244
3 Se 0.000 0.000 0.500
4 La 0.500 0.244 0.756
5 Se 0.000 0.500 0.000
6 La 0.000 0.228 0.228
7 La 0.000 0.772 0.772
8 Ir 0.500 0.000 0.000

Magnetic moment, μB per cell: 0.00
E_tot, eV/atom: -6.551
Theoretical density, g cm⁻³: 7.185

(8)
Density functional theory data (PBE) for TlTcAu2 after structural relaxation.

a = 2.871 Å, b = 2.950 Å, c = 9.289 Å
α = 90.00°, β = 90.00°, γ = 90.00°
Positions (direct):
1 Au 0.000 0.000 0.459
2 Tl 0.500 0.500 0.750
3 Au 0.000 0.000 0.041
4 Tc 0.500 0.500 0.250

Magnetic moment, μB per cell: 0.00
Energy relative to the elements, kJ/mol of atoms: 38.9
Theoretical density, g cm⁻³: 14.694